Material: Li5Ir
Method: DFT, SCAN
State: PBEsol geometry

Structure (CIF):
```
data_Li5Ir
_chemical_formula_sum 'Li10 Ir2'
_cell_length_a 10.4734
_cell_length_b 2.5294
_cell_length_c 6.9940
_cell_angle_alpha 90.00
_cell_angle_beta 105.10
_cell_angle_gamma 90.00
_space_group_name_H-M_alt 'C 1 m 1'
_space_group_IT_number 8
_space_group_name_Hall 'C -2y'
loop_
_atom_site_label
_atom_site_type_symbol
_atom_site_fract_x
_atom_site_fract_y
_atom_site_fract_z
_atom_site_occupancy
Li1 Li 0.0000 0.0000 0.0000 1
Li2 Li 0.0657 0.0000 0.6593 1
Li3 Li 0.1709 0.5000 0.3198 1
Li4 Li 0.3100 0.0000 0.6993 1
Li5 Li 0.3932 0.0000 0.2910 1
Ir1 Ir 0.2292 0.5000 0.9801 1
```

Output
Energy above the most stable polymorph in this dataset in meV per atom: 1.5
Crystal system: monoclinic
Energy of formation in eV per atom: -0.10

=====

Material: Si2TeSe
Method: DFT, SCAN
State: PBEsol geometry

Structure (CIF):
```
data_Si2TeSe
_chemical_formula_sum 'Si2 Te1 Se1'
_cell_length_a 4.2652
_cell_length_b 3.7168
_cell_length_c 6.2211
_cell_angle_alpha 90.00
_cell_angle_beta 109.32
_cell_angle_gamma 90.00
_space_group_name_H-M_alt 'P 1 m 1'
_space_group_IT_number 6
_space_group_name_Hall 'P -2y'
loop_
_atom_site_label
_atom_site_type_symbol
_atom_site_fract_x
_atom_site_fract_y
_atom_site_fract_z
_atom_site_occupancy
Si1 Si 0.0000 0.0000 0.0000 1
Si2 Si 0.4119 0.5000 0.1239 1
Te1 Te 0.8487 0.0000 0.3691 1
Se1 Se 0.5942 0.5000 0.8038 1
```

Output
Energy above the most stable polymorph in this dataset in meV per atom: 0.0
Crystal system: monoclinic
Raw formation energy in eV per atom: 0.034

=====

Material: Li2IrRh
Method: DFT, SCAN
State: PBEsol geometry

Structure (CIF):
```
data_Li2IrRh
_chemical_formula_sum 'Li4 Ir2 Rh2'
_cell_length_a 2.6710
_cell_length_b 4.4830
_cell_length_c 8.7584
_cell_angle_alpha 90.00
_cell_angle_beta 90.00
_cell_angle_gamma 90.00
_space_group_name_H-M_alt 'C m m m'
_space_group_IT_number 65
_space_group_name_Hall '-C 2 2'
loop_
_atom_site_label
_atom_site_type_symbol
_atom_site_fract_x
_atom_site_fract_y
_atom_site_fract_z
_atom_site_occupancy
Li1 Li 0.0000 0.0000 0.2484 1
Ir1 Ir 0.0000 0.5000 0.5000 1
Rh1 Rh 0.0000 0.5000 0.0000 1
```

Output
Energy above the most stable polymorph in this dataset in meV per atom: 31.6
Crystal system: orthorhombic
Energy of formation in eV per atom: -0.24

=====

Material: Fe2NiAu
Method: DFT, SCAN
State: PBEsol geometry

Structure (CIF):
```
data_Fe2NiAu
_chemical_formula_sum 'Fe2 Ni1 Au1'
_cell_length_a 3.6217
_cell_length_b 3.6217
_cell_length_c 3.8143
_cell_angle_alpha 90.00
_cell_angle_beta 90.00
_cell_angle_gamma 90.00
_space_group_name_H-M_alt 'P 4/m m m'
_space_group_IT_number 123
_space_group_name_Hall '-P 4 2'
loop_
_atom_site_label
_atom_site_type_symbol
_atom_site_fract_x
_atom_site_fract_y
_atom_site_fract_z
_atom_site_occupancy
Fe1 Fe 0.0000 0.5000 0.0000 1
Ni1 Ni 0.0000 0.0000 0.5000 1
Au1 Au 0.5000 0.5000 0.5000 1
```

Output
Energy above the most stable polymorph in this dataset in meV per atom: 0.5
Crystal system: tetragonal
Energy of formation in eV per atom: -0.12

=====

Material: AgHg2
Method: DFT, SCAN
State: PBEsol geometry

Structure (CIF):
```
data_AgHg2
_chemical_formula_sum 'Ag4 Hg8'
_cell_length_a 6.7876
_cell_length_b 6.7876
_cell_length_c 5.4903
_cell_angle_alpha 90.00
_cell_angle_beta 90.00
_cell_angle_gamma 90.00
_space_group_name_H-M_alt 'I 4/m c m'
_space_group_IT_number 140
_space_group_name_Hall '-I 4 2c'
loop_
_atom_site_label
_atom_site_type_symbol
_atom_site_fract_x
_atom_site_fract_y
_atom_site_fract_z
_atom_site_occupancy
Ag1 Ag 0.0000 0.0000 0.2500 1
Hg1 Hg 0.1560 0.3440 0.0000 1
```

Output
Energy above the most stable polymorph in this dataset in meV per atom: 0.0
Crystal system: tetragonal
Energy of formation in eV per atom: 0.05

=====

Material: Cu3Ag
Method: DFT, SCAN
State: PBEsol geometry

Structure (CIF):
```
data_Cu3Ag
_chemical_formula_sum 'Cu3 Ag1'
_cell_length_a 2.6456
_cell_length_b 3.5259
_cell_length_c 5.4321
_cell_angle_alpha 90.00
_cell_angle_beta 90.00
_cell_angle_gamma 90.00
_space_group_name_H-M_alt 'P m m m'
_space_group_IT_number 47
_space_group_name_Hall '-P 2 2'
loop_
_atom_site_label
_atom_site_type_symbol
_atom_site_fract_x
_atom_site_fract_y
_atom_site_fract_z
_atom_site_occupancy
Cu1 Cu 0.0000 0.0000 0.0000 1
Cu2 Cu 0.5000 0.5000 0.2277 1
Ag1 Ag 0.0000 0.0000 0.5000 1
```

Output
Crystal system: orthorhombic
Energy of formation in eV per atom: 0.09

=====

Material: ScBeO2
Method: DFT, SCAN
State: PBEsol geometry

Structure (CIF):
```
data_ScBeO2
_chemical_formula_sum 'Sc3 Be3 O6'
_cell_length_a 3.3047
_cell_length_b 3.3047
_cell_length_c 15.0731
_cell_angle_alpha 90.00
_cell_angle_beta 90.00
_cell_angle_gamma 120.00
_space_group_name_H-M_alt 'R -3 m'
_space_group_IT_number 166
_space_group_name_Hall '-R 3 2"'
loop_
_atom_site_label
_atom_site_type_symbol
_atom_site_fract_x
_atom_site_fract_y
_atom_site_fract_z
_atom_site_occupancy
Sc1 Sc 0.0000 0.0000 0.0000 1
Be1 Be 0.0000 0.0000 0.5000 1
O1 O 0.0000 0.0000 0.3993 1
```

Output
Crystal system: trigonal
Raw formation energy in eV per atom: -2.755

=====

Material: LiNbCo3P6O24
Method: DFT, SCAN
State: PBEsol geometry

Structure (CIF):
```
data_LiNbCo3P6O24
_chemical_formula_sum 'Li3 Nb3 Co9 P18 O72'
_cell_length_a 8.0855
_cell_length_b 8.0855
_cell_length_c 21.5260
_cell_angle_alpha 90.00
_cell_angle_beta 90.00
_cell_angle_gamma 120.00
_space_group_name_H-M_alt 'R 3'
_space_group_IT_number 146
_space_group_name_Hall 'R 3'
loop_
_atom_site_label
_atom_site_type_symbol
_atom_site_fract_x
_atom_site_fract_y
_atom_site_fract_z
_atom_site_occupancy
Li1 Li 0.0000 0.0000 0.0000 1
Nb1 Nb 0.0000 0.0000 0.8431 1
Co1 Co 0.0000 0.0000 0.1253 1
Co2 Co 0.0000 0.0000 0.3336 1
Co3 Co 0.0000 0.0000 0.6307 1
P1 P 0.0022 0.2899 0.7278 1
P2 P 0.0152 0.7325 0.2351 1
O1 O 0.0141 0.8152 0.1710 1
O2 O 0.0256 0.1869 0.0660 1
O3 O 0.0864 0.2178 0.3830 1
O4 O 0.0926 0.2181 0.6787 1
O5 O 0.1393 0.4663 0.4576 1
O6 O 0.1532 0.6930 0.5657 1
O7 O 0.2057 0.7510 0.9528 1
O8 O 0.2180 0.7734 0.2483 1
```

Output
Crystal system: trigonal
Raw formation energy in eV per atom: -2.072

=====

Material: YAsF2
Method: DFT, SCAN
State: PBEsol geometry

Structure (CIF):
```
data_YAsF2
_chemical_formula_sum 'Y3 As3 F6'
_cell_length_a 3.1270
_cell_length_b 3.1270
_cell_length_c 28.8539
_cell_angle_alpha 90.00
_cell_angle_beta 90.00
_cell_angle_gamma 120.00
_space_group_name_H-M_alt 'R -3 m'
_space_group_IT_number 166
_space_group_name_Hall '-R 3 2"'
loop_
_atom_site_label
_atom_site_type_symbol
_atom_site_fract_x
_atom_site_fract_y
_atom_site_fract_z
_atom_site_occupancy
Y1 Y 0.0000 0.0000 0.0000 1
As1 As 0.0000 0.0000 0.5000 1
F1 F 0.0000 0.0000 0.3803 1
```

Output
Crystal system: trigonal
Raw formation energy in eV per atom: -2.086

=====

Material: U8CoSe17
Method: DFT, SCAN
State: PBEsol geometry

Structure (CIF):
```
data_U8CoSe17
_chemical_formula_sum 'U16 Co2 Se34'
_cell_length_a 13.5155
_cell_length_b 8.5175
_cell_length_c 10.6008
_cell_angle_alpha 90.00
_cell_angle_beta 101.97
_cell_angle_gamma 90.00
_space_group_name_H-M_alt 'C 1 2/m 1'
_space_group_IT_number 12
_space_group_name_Hall '-C 2y'
loop_
_atom_site_label
_atom_site_type_symbol
_atom_site_fract_x
_atom_site_fract_y
_atom_site_fract_z
_atom_site_occupancy
U1 U 0.0640 0.2425 0.2012 1
U2 U 0.1804 0.5000 0.5159 1
U3 U 0.2006 0.0000 0.9527 1
Co1 Co 0.0000 0.0000 0.5000 1
Se1 Se 0.0000 0.0000 0.0000 1
Se2 Se 0.0214 0.5000 0.6706 1
Se3 Se 0.0516 0.0000 0.7213 1
Se4 Se 0.1263 0.3110 0.9611 1
Se5 Se 0.1325 0.1850 0.4755 1
Se6 Se 0.2054 0.5000 0.2595 1
Se7 Se 0.2190 0.0000 0.2215 1
```

Output
Crystal system: monoclinic
Raw formation energy in eV per atom: -1.076

=====

Material: Cr2TcP
Method: DFT, SCAN
State: PBEsol geometry

Structure (CIF):
```
data_Cr2TcP
_chemical_formula_sum 'Cr4 Tc2 P2'
_cell_length_a 8.2805
_cell_length_b 2.8452
_cell_length_c 4.2528
_cell_angle_alpha 90.00
_cell_angle_beta 107.18
_cell_angle_gamma 90.00
_space_group_name_H-M_alt 'C 1 m 1'
_space_group_IT_number 8
_space_group_name_Hall 'C -2y'
loop_
_atom_site_label
_atom_site_type_symbol
_atom_site_fract_x
_atom_site_fract_y
_atom_site_fract_z
_atom_site_occupancy
Cr1 Cr 0.0000 0.0000 0.0000 1
Cr2 Cr 0.2327 0.5000 0.1404 1
Tc1 Tc 0.0036 0.5000 0.5111 1
P1 P 0.2466 0.0000 0.6753 1
```

Output
Crystal system: monoclinic
Energy of formation in eV per atom: -0.15

=====

Material: FeNi6Mo
Method: DFT, SCAN
State: PBEsol geometry

Structure (CIF):
```
data_FeNi6Mo
_chemical_formula_sum 'Fe8 Ni48 Mo8'
_cell_length_a 7.0746
_cell_length_b 9.9972
_cell_length_c 10.0021
_cell_angle_alpha 90.00
_cell_angle_beta 90.00
_cell_angle_gamma 90.00
_space_group_name_H-M_alt 'C m m m'
_space_group_IT_number 65
_space_group_name_Hall '-C 2 2'
loop_
_atom_site_label
_atom_site_type_symbol
_atom_site_fract_x
_atom_site_fract_y
_atom_site_fract_z
_atom_site_occupancy
Fe1 Fe 0.0000 0.0000 0.2454 1
Fe2 Fe 0.0000 0.2519 0.0000 1
Ni1 Ni 0.0000 0.0000 0.0000 1
Ni2 Ni 0.0000 0.0000 0.5000 1
Ni3 Ni 0.0000 0.2495 0.2490 1
Ni4 Ni 0.0000 0.5000 0.0000 1
Ni5 Ni 0.0000 0.5000 0.5000 1
Ni6 Ni 0.2482 0.1252 0.1238 1
Ni7 Ni 0.2483 0.1246 0.3740 1
Mo1 Mo 0.0000 0.2533 0.5000 1
Mo2 Mo 0.0000 0.5000 0.2446 1
```

Output
Crystal system: orthorhombic
Energy of formation in eV per atom: -0.01